LaBSb2Mo | PBE-GGA | optimized geometry

Calculated values
Formation energy from raw total energies ... 0.91 eV/atom
Calculated density ... 5.56 g/cm3
Spin magnetization ... 1.0 μB/f.u.
Calculated volume ... 29.2 Å³/atom
DFT total energy ... -5.223 eV/atom
Symmetry ... No. 123
DOS at the Fermi energy ... 4.25 states/eV/cell

Lattice parameters (Å, degrees): 5.1653 5.1653 5.4754 90.00 90.00 90.00
Closest atoms and distances in Å follow each position.
Sites, in units of the cell vectors:
1 La 0.0000 0.0000 0.0000  2 Mo 2.74
2 B 0.5000 0.5000 0.0000  4 La 3.65, 8 Sb 3.76
3 Sb 0.0000 0.5000 0.5000  2 Mo 2.58
4 Sb 0.5000 0.0000 0.5000  2 Mo 2.58
5 Mo 0.0000 0.0000 0.5000  4 Sb 2.58, 2 La 2.74



CuHg2BrF | PBE-GGA | optimized geometry

Calculated values
Formation energy from raw total energies ... -0.19 eV/atom
Calculated density ... 7.36 g/cm3
Spin magnetization ... 0.0 μB/f.u.
Calculated volume ... 25.4 Å³/atom
DFT total energy ... -1.840 eV/atom
Symmetry ... No. 123
DOS at the Fermi energy ... 3.46 states/eV/cell

Lattice parameters (Å, degrees): 5.2013 5.2013 4.7007 90.00 90.00 90.00
Closest atoms and distances in Å follow each position.
Sites, in units of the cell vectors:
1 Cu 0.0000 0.0000 0.0000  2 Br 2.35, 4 Hg 2.60
2 Hg 0.0000 0.5000 0.0000  2 Cu 2.60
3 Hg 0.5000 0.0000 0.0000  2 Cu 2.60
4 Br 0.0000 0.0000 0.5000  2 Cu 2.35
5 F 0.5000 0.5000 0.5000  8 Hg 3.51, 4 Br 3.68



K2CuI | PBE-GGA | optimized geometry

Calculated values
Formation energy from raw total energies ... -0.43 eV/atom
Calculated density ... 3.03 g/cm3
Spin magnetization ... 0.0 μB/f.u.
Calculated volume ... 36.8 Å³/atom
Energy above the most stable polymorph in this dataset ... 0.00 kJ per mole of atoms
DFT total energy ... -2.387 eV/atom
Symmetry ... No. 225
DOS at the Fermi energy ... 0.00 states/eV/cell

Lattice parameters (Å, degrees): 5.9259 5.9259 5.9259 60.00 60.00 60.00
Closest atoms and distances in Å follow each position.
Sites, in units of the cell vectors:
1 K 0.2500 0.2500 0.2500  4 I 3.63, 4 Cu 3.63
2 K 0.7500 0.7500 0.7500  4 Cu 3.63, 4 I 3.63
3 Cu 0.0000 0.0000 0.0000  8 K 3.63
4 I 0.5000 0.5000 0.5000  8 K 3.63



Cr6Ir5Rh | PBE-GGA | optimized geometry

Calculated values
Calculated density ... 14.24 g/cm3
Spin magnetization ... 1.6 μB/f.u.
Energy of formation ... -0.17 eV/atom
Calculated volume ... 13.4 Å³/atom
DFT total energy ... -9.290 eV/atom
Symmetry ... No. 71
DOS at the Fermi energy ... 11.53 states/eV/cell

Lattice parameters (Å, degrees): 7.0859 7.0859 7.0859 148.92 117.60 71.35
Closest atoms and distances in Å follow each position.
Sites, in units of the cell vectors:
1 Cr 0.0842 0.3342 0.7501  7 Ir 2.64-2.66, 1 Rh 2.65, 4 Cr 2.69-2.71
2 Cr 0.2502 0.0000 0.2502  6 Ir 2.64-2.66, 2 Rh 2.64, 4 Cr 2.69
3 Cr 0.4159 0.6658 0.7501  7 Ir 2.64-2.66, 1 Rh 2.65, 4 Cr 2.69-2.71
4 Cr 0.5841 0.3342 0.2499  7 Ir 2.64-2.66, 1 Rh 2.65, 4 Cr 2.69-2.71
5 Cr 0.7498 0.0000 0.7498  6 Ir 2.64-2.66, 2 Rh 2.64, 4 Cr 2.69
6 Cr 0.9158 0.6658 0.2499  7 Ir 2.64-2.66, 1 Rh 2.65, 4 Cr 2.69-2.71
7 Ir 0.1664 0.1664 0.0000  8 Cr 2.64-2.66, 2 Rh 2.70, 2 Ir 2.70
8 Ir 0.3328 0.8328 0.5000  8 Cr 2.64-2.66, 4 Ir 2.70
9 Ir 0.5000 0.5000 0.0000  8 Cr 2.64-2.65, 4 Ir 2.70
10 Ir 0.6672 0.1672 0.5000  8 Cr 2.64-2.66, 4 Ir 2.70
11 Ir 0.8336 0.8336 0.0000  8 Cr 2.64-2.66, 2 Rh 2.70, 2 Ir 2.70
12 Rh 0.0000 0.5000 0.5000  8 Cr 2.64-2.65, 4 Ir 2.70



DyHoP | PBE-GGA | optimized geometry

Calculated values
Calculated density ... 7.18 g/cm3
Spin magnetization ... 0.0 μB/f.u.
Energy of formation ... -0.97 eV/atom
Calculated volume ... 27.6 Å³/atom
Energy above the most stable polymorph in this dataset ... 0.00 kJ per mole of atoms
DFT total energy ... -5.831 eV/atom
Symmetry ... No. 156
DOS at the Fermi energy ... 3.15 states/eV/cell

Lattice parameters (Å, degrees): 3.8881 3.8881 6.3345 90.00 90.00 120.00
Closest atoms and distances in Å follow each position.
Sites, in units of the cell vectors:
1 Dy 0.0000 0.0000 0.0000  3 P 2.75
2 Ho 0.3333 0.6667 0.4997  3 P 2.74
3 P 0.6667 0.3333 0.2512  3 Ho 2.74, 3 Dy 2.75



YSb2TeC | PBE-GGA | optimized geometry

Calculated values
Formation energy from raw total energies ... 1.57 eV/atom
Calculated density ... 4.00 g/cm3
Spin magnetization ... 1.8 μB/f.u.
Calculated volume ... 39.2 Å³/atom
Energy above the most stable polymorph in this dataset ... 112.09 kJ per mole of atoms
DFT total energy ... -3.840 eV/atom
Symmetry ... No. 123
DOS at the Fermi energy ... 8.04 states/eV/cell

Lattice parameters (Å, degrees): 5.8456 5.8456 5.7334 90.00 90.00 90.00
Closest atoms and distances in Å follow each position.
Sites, in units of the cell vectors:
1 Y 0.0000 0.0000 0.0000  2 Te 2.87, 4 Sb 2.92
2 Sb 0.0000 0.5000 0.0000  2 Y 2.92
3 Sb 0.5000 0.0000 0.0000  2 Y 2.92
4 Te 0.0000 0.0000 0.5000  2 Y 2.87
5 C 0.5000 0.5000 0.5000  8 Sb 4.09, 4 Te 4.13



Fe2Ni3Rh4 | PBE-GGA | optimized geometry

Calculated values
Calculated density ... 10.06 g/cm3
Spin magnetization ... 9.1 μB/f.u.
Energy of formation ... 0.01 eV/atom
Calculated volume ... 12.8 Å³/atom
DFT total energy ... -7.068 eV/atom
Symmetry ... No. 2
DOS at the Fermi energy ... 13.46 states/eV/cell

Lattice parameters (Å, degrees): 2.6721 5.8071 7.8568 77.04 89.94 76.73
Closest atoms and distances in Å follow each position.
Sites, in units of the cell vectors:
1 Fe 0.1603 0.1783 0.3876  5 Rh 2.55-2.61, 3 Ni 2.57-2.61, 4 Fe 2.67-2.71
2 Fe 0.8397 0.8217 0.6124  5 Rh 2.55-2.61, 3 Ni 2.57-2.61, 4 Fe 2.67-2.71
3 Ni 0.1706 0.1583 0.0585  4 Ni 2.57-2.67, 7 Rh 2.59-2.70, 1 Fe 2.61
4 Ni 0.5000 0.5000 0.5000  4 Fe 2.57, 6 Rh 2.61-2.62, 2 Ni 2.67
5 Ni 0.8294 0.8417 0.9415  4 Ni 2.57-2.67, 7 Rh 2.59-2.70, 1 Fe 2.61
6 Rh 0.1698 0.1607 0.7147  3 Fe 2.55-2.61, 5 Ni 2.59-2.70, 4 Rh 2.67-2.69
7 Rh 0.4990 0.5029 0.8331  2 Fe 2.57, 5 Rh 2.61-2.69, 5 Ni 2.62-2.67
8 Rh 0.5010 0.4971 0.1669  2 Fe 2.57, 5 Rh 2.61-2.69, 5 Ni 2.62-2.67
9 Rh 0.8302 0.8393 0.2853  3 Fe 2.55-2.61, 5 Ni 2.59-2.70, 4 Rh 2.67-2.69



Ba2Cd5Au12 | PBE-GGA | optimized geometry

Calculated values
Calculated density ... 12.72 g/cm3
Spin magnetization ... 0.0 μB/f.u.
Energy of formation ... -0.32 eV/atom
Calculated volume ... 22.0 Å³/atom
DFT total energy ... -2.831 eV/atom
Symmetry ... No. 166
DOS at the Fermi energy ... 4.02 states/eV/cell

Lattice parameters (Å, degrees): 7.5255 7.5255 7.5255 83.11 83.11 83.11
Closest atoms and distances in Å follow each position.
Sites, in units of the cell vectors:
1 Ba 0.1470 0.1470 0.1470  15 Au 3.48-3.81, 1 Cd 3.67
2 Ba 0.8530 0.8530 0.8530  15 Au 3.48-3.81, 1 Cd 3.67
3 Cd 0.0000 0.5000 0.5000  8 Au 2.87-2.88, 2 Cd 3.04
4 Cd 0.4000 0.4000 0.4000  4 Cd 2.90-3.04, 3 Au 3.10
5 Cd 0.5000 0.0000 0.5000  8 Au 2.87-2.88, 2 Cd 3.04
6 Cd 0.5000 0.5000 0.0000  8 Au 2.87-2.88, 2 Cd 3.04
7 Cd 0.6000 0.6000 0.6000  4 Cd 2.90-3.04, 3 Au 3.10
8 Au 0.1537 0.1537 0.6514  3 Cd 2.88-3.10, 6 Au 2.92-3.04
9 Au 0.1537 0.6514 0.1537  3 Cd 2.88-3.10, 6 Au 2.92-3.04
10 Au 0.1958 0.5000 0.8042  2 Cd 2.87, 6 Au 2.96-3.04
11 Au 0.1958 0.8042 0.5000  2 Cd 2.87, 6 Au 2.96-3.04
12 Au 0.3486 0.8463 0.8463  3 Cd 2.88-3.10, 6 Au 2.92-3.04
13 Au 0.5000 0.1958 0.8042  2 Cd 2.87, 6 Au 2.96-3.04
14 Au 0.5000 0.8042 0.1958  2 Cd 2.87, 6 Au 2.96-3.04
15 Au 0.6514 0.1537 0.1537  3 Cd 2.88-3.10, 6 Au 2.92-3.04
16 Au 0.8042 0.1958 0.5000  2 Cd 2.87, 6 Au 2.96-3.04
17 Au 0.8042 0.5000 0.1958  2 Cd 2.87, 6 Au 2.96-3.04
18 Au 0.8463 0.3486 0.8463  3 Cd 2.88-3.10, 6 Au 2.92-3.04
19 Au 0.8463 0.8463 0.3486  3 Cd 2.88-3.10, 6 Au 2.92-3.04



Question: Which of these has the lowest DOS at the Fermi energy?
Answer: K2CuI



Question: What is the formula in the second record?
Answer: CuHg2BrF



Question: What is the DOS at the Fermi energy in the third record?
Answer: 0.00 states/eV/cell